Record 1
A relaxed Nd5Sm4Tm crystal, computed with PBE.

Structure (extended XYZ):
```
10
Lattice="3.640 0.000 0.000 -1.809 9.445 0.000 -0.019 -2.815 9.930" Properties=species:S:1:pos:R:3 pbc="T T T"
Nd 0.000 0.000 0.000
Nd 0.001 3.495 0.993
Nd -0.007 5.617 6.917
Nd 1.819 1.013 3.013
Nd 1.812 3.135 8.937
Sm -0.004 2.080 5.957
Sm 0.006 6.991 2.029
Sm 1.806 -0.361 7.901
Sm 1.817 4.550 3.973
Tm -0.010 -1.408 4.965
```

Calculated values
- Total DFT energy (no corrections): -4.70 eV/atom
- Symmetry: P-1
- Relative energy among the computed polymorphs: 0.00 eV/f.u.

---

Record 2
A relaxed Nd6SmTm6 crystal, computed with PBE.

Structure (extended XYZ):
```
13
Lattice="6.720 0.000 0.000 -3.360 5.820 0.000 0.000 0.000 11.416" Properties=species:S:1:pos:R:3 pbc="T T T"
Nd 0.000 0.000 1.787
Nd 0.000 0.000 9.629
Nd 0.000 3.880 0.000
Nd 0.000 3.880 5.708
Nd 3.360 1.940 0.000
Nd 3.360 1.940 5.708
Sm 0.000 0.000 5.708
Tm -1.680 2.910 2.900
Tm -1.680 2.910 8.516
Tm 3.360 0.000 2.900
Tm 3.360 0.000 8.516
Tm 1.680 2.910 2.900
Tm 1.680 2.910 8.516
```

Calculated values
- Total DFT energy (no corrections): -4.38 eV/atom
- Symmetry: P6/mmm

---

Record 3
A relaxed Nd2Sm2Tm crystal, computed with PBE.

Structure (extended XYZ):
```
10
Lattice="-1.816 2.898 16.147 1.816 -2.898 16.147 1.816 2.898 -16.147" Properties=species:S:1:pos:R:3 pbc="T T T"
Nd 1.816 1.449 -6.664
Nd 0.000 1.449 6.156
Nd 1.816 1.449 9.990
Nd 0.000 1.449 22.810
Sm 1.816 -1.449 12.346
Sm 1.816 -1.449 15.485
Sm 0.000 4.346 0.662
Sm 0.000 4.346 3.801
Tm 1.816 1.449 2.486
Tm 0.000 1.449 13.660
```

Calculated values
- Total DFT energy (no corrections): -4.55 eV/atom
- Symmetry: Imma
- Relative energy among the computed polymorphs: 0.00 eV/f.u.

---

Record 4
A relaxed Nd4SmTm5 crystal, computed with PBE.

Structure (extended XYZ):
```
10
Lattice="8.540 -1.760 0.000 8.540 1.760 0.000 -0.040 0.000 11.293" Properties=species:S:1:pos:R:3 pbc="T T T"
Nd 0.554 0.000 2.800
Nd 5.826 0.000 2.825
Nd 11.214 0.000 8.468
Nd 16.486 0.000 8.493
Sm 8.520 0.000 5.646
Tm 2.947 0.000 0.507
Tm 2.957 0.000 5.089
Tm 8.540 0.000 0.000
Tm 14.083 0.000 6.204
Tm 14.094 0.000 10.785
```

Calculated values
- Total DFT energy (no corrections): -4.42 eV/atom
- Symmetry: C2/m
- Relative energy among the computed polymorphs: 1.78 eV/f.u.

---

Record 5
A relaxed Nd2Sm3Tm3 crystal, computed with PBE.

Structure (extended XYZ):
```
8
Lattice="-2.535 2.545 10.125 2.535 -2.545 10.125 2.535 2.545 -10.125" Properties=species:S:1:pos:R:3 pbc="T T T"
Nd 0.000 0.000 5.056
Nd 0.000 0.000 15.195
Sm 0.000 0.000 0.000
Sm 2.535 0.000 7.646
Sm 0.000 2.545 2.480
Tm 2.535 0.000 2.500
Tm 0.000 0.000 10.125
Tm 0.000 2.545 7.625
```

Calculated values
- Total DFT energy (no corrections): -4.62 eV/atom
- Symmetry: Immm
- Relative energy among the computed polymorphs: 0.00 eV/f.u.

---

Record 6
A relaxed Nd4Sm4Tm crystal, computed with PBE.

Structure (extended XYZ):
```
9
Lattice="7.711 -2.574 0.000 7.711 2.574 0.000 -2.587 0.000 7.707" Properties=species:S:1:pos:R:3 pbc="T T T"
Nd 2.546 0.000 0.003
Nd 2.569 0.000 5.140
Nd 10.266 0.000 2.567
Nd 10.288 0.000 7.704
Sm -0.014 0.000 2.570
Sm 5.152 0.000 2.554
Sm 7.683 0.000 5.152
Sm 12.849 0.000 5.137
Tm 7.711 0.000 0.000
```

Calculated values
- Total DFT energy (no corrections): -4.70 eV/atom
- Symmetry: C2/m

---

Record 7
A relaxed Nd3Sm4Tm crystal, computed with PBE.

Structure (extended XYZ):
```
8
Lattice="11.847 -1.755 0.000 11.847 1.755 0.000 -2.002 0.000 6.594" Properties=species:S:1:pos:R:3 pbc="T T T"
Nd 0.000 0.000 0.000
Nd 2.180 0.000 2.537
Nd 19.513 0.000 4.056
Sm 1.204 0.000 5.694
Sm 5.616 0.000 1.681
Sm 16.077 0.000 4.913
Sm 20.490 0.000 0.900
Tm 10.847 0.000 3.297
```

Calculated values
- Total DFT energy (no corrections): -4.55 eV/atom
- Symmetry: C2/m
- Relative energy among the computed polymorphs: 1.00 eV/f.u.

---

Record 8
A relaxed Nd4Sm4Tm crystal, computed with PBE.

Structure (extended XYZ):
```
9
Lattice="-5.456 5.456 2.567 5.456 -5.456 2.567 5.456 5.456 -2.567" Properties=species:S:1:pos:R:3 pbc="T T T"
Nd 1.810 1.810 0.000
Nd 3.646 -3.646 2.567
Nd -3.646 3.646 2.567
Nd 3.646 3.646 2.567
Sm 5.456 1.821 0.000
Sm 1.821 5.456 0.000
Sm 3.635 0.000 2.567
Sm 0.000 3.635 2.567
Tm 0.000 0.000 2.567
```

Calculated values
- Total DFT energy (no corrections): -4.70 eV/atom
- Symmetry: I4/mmm

---

Question: The highest total DFT energy (no corrections) belongs to which entry?
Answer: Nd6SmTm6

---

Please write out number 7 again, unchanged.
A relaxed Nd3Sm4Tm crystal, computed with PBE.

Structure (extended XYZ):
```
8
Lattice="11.847 -1.755 0.000 11.847 1.755 0.000 -2.002 0.000 6.594" Properties=species:S:1:pos:R:3 pbc="T T T"
Nd 0.000 0.000 0.000
Nd 2.180 0.000 2.537
Nd 19.513 0.000 4.056
Sm 1.204 0.000 5.694
Sm 5.616 0.000 1.681
Sm 16.077 0.000 4.913
Sm 20.490 0.000 0.900
Tm 10.847 0.000 3.297
```

Calculated values
- Total DFT energy (no corrections): -4.55 eV/atom
- Symmetry: C2/m
- Relative energy among the computed polymorphs: 1.00 eV/f.u.

---

Question: Among the records above, which one has the highest total DFT energy (no corrections)?
Answer: Nd6SmTm6

---

Question: Which value of total DFT energy (no corrections) does entry 5 give?
Answer: -4.62 eV/atom